Entry from Alexandria via LeMat-Bulk: a relaxed structure of AcSc2Pb (PBE).

Cell lengths 4.940, 4.940, 4.684 Å; angles 90.00, 90.00, 90.00 degrees
Atoms (fractional coordinates):
Ac (0.000, 0.000, 0.000)
Sc (0.000, 0.500, 0.500)
Sc (0.500, 0.000, 0.500)
Pb (0.500, 0.500, 0.000)

Computed properties:
density of states at the Fermi level	6.92	states/eV/f.u.
calculated volume	28.58	Å³/atom
space-group type	P4/mmm, No. 123
energy of formation from the pure elements	-0.139	eV/atom
distance to the lowest polymorph of the same formula	0	meV/atom